1.
DFT (SCAN) results for a crystal of Hg2AsW relaxed with PBEsol.

The formation energy is 17.63 kcal/mol of atoms. For the mass density, the calculation gives 14.511 g cm⁻³. The electronic total energy is -55.788 eV per atom.

The structure belongs to space group R-3m (No. 166, hexagonal axes); the cell edges are 2.9370, 2.9370 and 30.3290 Å and the angles 90.00°, 90.00° and 120.00°. Symmetry generates all atoms from Hg at (0.0000, 0.0000, 0.2457), As at (0.0000, 0.0000, 0.0000) and W at (0.0000, 0.0000, 0.5000).

=====

2.
DFT (SCAN) results for a crystal of Au5C relaxed with PBEsol.

As for the energy above the most stable polymorph in this dataset: 454 meV per atom. The formation energy is 29.53 kcal/mol of atoms. For the mass density, the calculation gives 15.384 g cm⁻³. The electronic total energy is -58.034 eV per atom.

The structure belongs to space group F-43m (No. 216); the cell edges are 7.5501, 7.5501 and 7.5501 Å and the angles 90.00°, 90.00° and 90.00°. Symmetry generates all atoms from Au at (0.0000, 0.0000, 0.0000), Au at (0.1250, 0.1250, 0.3750) and C at (0.2500, 0.2500, 0.7500).

=====

3.
DFT (SCAN) results for a crystal of LiRu2Cl relaxed with PBEsol.

As for the energy above the most stable polymorph in this dataset: 785 meV per atom. The calculation puts the raw formation energy at 0.6727 eV/atom. For the mass density, the calculation gives 6.834 g cm⁻³. The electronic total energy is -19.332 eV per atom.

The structure belongs to space group Pmmm (No. 47); the cell edges are 2.7391, 4.6331 and 4.6818 Å and the angles 90.00°, 90.00° and 90.00°. Symmetry generates all atoms from Li at (0.0000, 0.0000, 0.0000), Ru at (0.5000, 0.5000, 0.2497) and Cl at (0.0000, 0.0000, 0.5000).

=====

4.
DFT (SCAN) results for a crystal of CsMgSbI2 relaxed with PBEsol.

The calculation puts the raw formation energy at -0.7296 eV/atom. For the mass density, the calculation gives 4.438 g cm⁻³. The electronic total energy is -31.435 eV per atom.

The structure belongs to space group P4/mmm (No. 123); the cell edges are 5.9652, 5.9652 and 5.6016 Å and the angles 90.00°, 90.00° and 90.00°. Symmetry generates all atoms from Cs at (0.0000, 0.0000, 0.0000), Mg at (0.5000, 0.5000, 0.5000), Sb at (0.5000, 0.5000, 0.0000) and I at (0.0000, 0.5000, 0.5000).